Computed, not measured: crystalline In4GaHg2Pb at its relaxed geometry at the GGA-PBE level of DFT.

As for the space group: P2/m (10).

Cell lengths 4.7788, 6.3139, 8.2619 Å; angles 62.16, 90.00, 90.00 degrees
Last column: nearest neighbours and their distance in Å.
Positions (direct):
Hg 0.5000 0.0000 0.5000  6 In 3.13-3.33
In 0.5000 0.7440 0.2274  1 Ga 2.93, 2 Hg 3.00, 2 Pb 3.15
Hg 0.0000 0.0000 0.0000  6 In 3.00-3.04
In 0.5000 0.2560 0.7726  1 Ga 2.93, 2 Hg 3.00, 2 Pb 3.15
Pb 0.0000 0.5000 0.5000  6 In 3.15-3.22
Ga 0.5000 0.5000 0.0000  6 In 2.93-3.02
In 0.0000 0.7470 0.7641  2 Ga 3.02, 3 Hg 3.04-3.13, 1 Pb 3.22
In 0.0000 0.2530 0.2359  2 Ga 3.02, 3 Hg 3.04-3.13, 1 Pb 3.22

***

Computed, not measured: crystalline InGa2HgPd at its relaxed geometry at the GGA-PBE level of DFT.

As for the space group: P4/mmm (123).

Cell lengths 4.8976, 4.8976, 5.2875 Å; angles 90.00, 90.00, 90.00 degrees
Last column: nearest neighbours and their distance in Å.
Positions (direct):
Ga 0.0000 0.5000 0.0000  2 Pd 2.45
In 0.0000 0.0000 0.5000  2 Pd 2.64
Pd 0.0000 0.0000 0.0000  4 Ga 2.45, 2 In 2.64
Hg 0.5000 0.5000 0.5000  4 In 3.46, 8 Ga 3.60
Ga 0.5000 0.0000 0.0000  2 Pd 2.45

***

no.,formation energy from the elements (eV per atom),size of the total moment (μB/f.u.)
1,0.062,0.00
2,-0.121,0.00